Below is a relaxed structure of CuAgRh2, with properties calculated at the PBE-GGA level.

Structure (extended XYZ):
```
4
Lattice="4.873 0.011 0.000 -1.926 4.476 0.000 0.000 0.000 2.709" Properties=species:S:1:pos:R:3 pbc="T T T"
Ag 2.436 0.005 1.354
Cu -0.963 2.238 1.354
Rh 0.000 0.000 0.000
Rh 1.473 2.243 0.000
```

=====

Below is a relaxed structure of ErZrAlIn, with properties calculated at the PBE-GGA level.

Structure (extended XYZ):
```
4
Lattice="-3.892 -1.214 2.961 -1.716 -4.737 0.089 0.735 -2.870 4.076" Properties=species:S:1:pos:R:3 pbc="T T T"
In -3.655 -6.616 5.344
Al -1.218 -2.205 1.781
Zr 0.000 0.000 0.000
Er -2.437 -4.411 3.563
```

=====

| no. | energy of formation from the pure elements (eV/atom) | total energy (eV/cell) | magnetic moment (μB/cell) |
| --- | --- | --- | --- |
| 1 | 0.2894 | -20.49 | 1.2 |
| 2 | -0.2592 | -20.63 | 0.0 |